This record from Alexandria via LeMat-Bulk describes crystalline SbMoRh at its relaxed geometry. The functional is PBE.

abc: 4.4889 4.4889 2.9394
angles: 90.00 90.00 120.00
Space group P-6m2 (No. 187)
One atom of each set of equivalent atoms:
Sb 0.0000 0.0000 0.0000 (multiplicity 1)
Mo 0.6667 0.3333 0.5000 (multiplicity 1)
Rh 0.3333 0.6667 0.0000 (multiplicity 1)

Summary:
magnetic moment	0.93	μB/cell
formation energy without anion corrections	123	meV/atom